# 1
A plane-wave DFT calculation with PBE-GGA was carried out for a relaxed In4Te2Br crystal.

Properties
raw total energy = -0.21903 Ry per atom
SG = No. 122

```
data_In4Te2Br
_symmetry_space_group_name_H-M 'P 1'
_symmetry_Int_Tables_number 1
_symmetry_space_group_name_Hall 'P 1'
_cell_length_a 8.383
_cell_length_b 8.383
_cell_length_c 8.383
_cell_angle_alpha 108.63
_cell_angle_beta 108.63
_cell_angle_gamma 111.16
loop_
_atom_site_label
_atom_site_type_symbol
_atom_site_fract_x
_atom_site_fract_y
_atom_site_fract_z
_atom_site_occupancy
In1 In 0.122 0.523 0.746 1
In2 In 0.125 0.026 0.754 1
In3 In 0.273 0.372 0.246 1
In4 In 0.477 0.224 0.599 1
In5 In 0.625 0.878 0.401 1
In6 In 0.628 0.875 0.901 1
In7 In 0.776 0.375 0.254 1
In8 In 0.974 0.727 0.099 1
Te1 Te 0.375 0.005 0.130 1
Te2 Te 0.755 0.625 0.630 1
Te3 Te 0.875 0.245 0.870 1
Te4 Te 0.995 0.125 0.370 1
Br1 Br 0.250 0.750 0.500 1
Br2 Br 0.500 0.500 0.000 1
```

# 2
A plane-wave DFT calculation with PBE-GGA was carried out for a relaxed InTeBr2 crystal.

Properties
raw total energy = -0.17684 Ry per atom
SG = No. 99

```
data_InTeBr2
_symmetry_space_group_name_H-M 'P 1'
_symmetry_Int_Tables_number 1
_symmetry_space_group_name_Hall 'P 1'
_cell_length_a 3.727
_cell_length_b 3.727
_cell_length_c 8.847
_cell_angle_alpha 90.00
_cell_angle_beta 90.00
_cell_angle_gamma 90.00
loop_
_atom_site_label
_atom_site_type_symbol
_atom_site_fract_x
_atom_site_fract_y
_atom_site_fract_z
_atom_site_occupancy
In1 In 0.000 0.000 0.000 1
Te1 Te 0.500 0.500 0.220 1
Br1 Br 0.000 0.000 0.425 1
Br2 Br 0.500 0.500 0.812 1
```

# 3
A plane-wave DFT calculation with PBE-GGA was carried out for a relaxed In4Te3Br crystal.

Properties
raw total energy = -0.22586 Ry per atom
SG = No. 44

```
data_In4Te3Br
_symmetry_space_group_name_H-M 'P 1'
_symmetry_Int_Tables_number 1
_symmetry_space_group_name_Hall 'P 1'
_cell_length_a 9.698
_cell_length_b 9.698
_cell_length_c 9.698
_cell_angle_alpha 155.25
_cell_angle_beta 134.95
_cell_angle_gamma 52.08
loop_
_atom_site_label
_atom_site_type_symbol
_atom_site_fract_x
_atom_site_fract_y
_atom_site_fract_z
_atom_site_occupancy
In1 In 0.233 0.000 0.233 1
In2 In 0.494 0.732 0.762 1
In3 In 0.767 0.000 0.767 1
In4 In 0.969 0.732 0.238 1
Te1 Te 0.170 0.170 0.000 1
Te2 Te 0.584 0.584 0.000 1
Te3 Te 0.811 0.311 0.500 1
Br1 Br 0.365 0.865 0.500 1
```

# 4
A plane-wave DFT calculation with PBE-GGA was carried out for a relaxed InTeBr2 crystal.

Properties
raw total energy = -0.17856 Ry per atom
SG = No. 123

```
data_InTeBr2
_symmetry_space_group_name_H-M 'P 1'
_symmetry_Int_Tables_number 1
_symmetry_space_group_name_Hall 'P 1'
_cell_length_a 3.456
_cell_length_b 3.456
_cell_length_c 11.466
_cell_angle_alpha 90.00
_cell_angle_beta 90.00
_cell_angle_gamma 90.00
loop_
_atom_site_label
_atom_site_type_symbol
_atom_site_fract_x
_atom_site_fract_y
_atom_site_fract_z
_atom_site_occupancy
In1 In 0.000 0.000 0.000 1
Te1 Te 0.000 0.000 0.500 1
Br1 Br 0.500 0.500 0.157 1
Br2 Br 0.500 0.500 0.843 1
```

# 5
A plane-wave DFT calculation with PBE-GGA was carried out for a relaxed InTe4Br crystal.

Properties
raw total energy = -0.19945 Ry per atom
SG = No. 216

```
data_InTe4Br
_symmetry_space_group_name_H-M 'P 1'
_symmetry_Int_Tables_number 1
_symmetry_space_group_name_Hall 'P 1'
_cell_length_a 6.432
_cell_length_b 6.432
_cell_length_c 6.432
_cell_angle_alpha 60.00
_cell_angle_beta 60.00
_cell_angle_gamma 60.00
loop_
_atom_site_label
_atom_site_type_symbol
_atom_site_fract_x
_atom_site_fract_y
_atom_site_fract_z
_atom_site_occupancy
In1 In 0.000 0.000 0.000 1
Te1 Te 0.127 0.624 0.624 1
Te2 Te 0.624 0.127 0.624 1
Te3 Te 0.624 0.624 0.127 1
Te4 Te 0.624 0.624 0.624 1
Br1 Br 0.250 0.250 0.250 1
```

# 6
A plane-wave DFT calculation with PBE-GGA was carried out for a relaxed InTe2Br crystal.

Properties
raw total energy = -0.21040 Ry per atom
SG = No. 8

```
data_InTe2Br
_symmetry_space_group_name_H-M 'P 1'
_symmetry_Int_Tables_number 1
_symmetry_space_group_name_Hall 'P 1'
_cell_length_a 5.104
_cell_length_b 5.104
_cell_length_c 7.977
_cell_angle_alpha 105.86
_cell_angle_beta 105.86
_cell_angle_gamma 50.79
loop_
_atom_site_label
_atom_site_type_symbol
_atom_site_fract_x
_atom_site_fract_y
_atom_site_fract_z
_atom_site_occupancy
In1 In 0.000 0.000 0.000 1
Te1 Te 0.432 0.432 0.436 1
Te2 Te 0.677 0.677 0.305 1
Br1 Br 0.261 0.261 0.845 1
```

# 7
A plane-wave DFT calculation with PBE-GGA was carried out for a relaxed In12Te5Br3 crystal.

Properties
raw total energy = -0.20998 Ry per atom
SG = No. 230

```
data_In12Te5Br3
_symmetry_space_group_name_H-M 'P 1'
_symmetry_Int_Tables_number 1
_symmetry_space_group_name_Hall 'P 1'
_cell_length_a 16.260
_cell_length_b 16.260
_cell_length_c 16.260
_cell_angle_alpha 109.47
_cell_angle_beta 109.47
_cell_angle_gamma 109.47
loop_
_atom_site_label
_atom_site_type_symbol
_atom_site_fract_x
_atom_site_fract_y
_atom_site_fract_z
_atom_site_occupancy
In1 In 0.063 0.229 0.151 1
In2 In 0.063 0.334 0.912 1
In3 In 0.077 0.729 0.666 1
In4 In 0.077 0.849 0.412 1
In5 In 0.088 0.651 0.423 1
In6 In 0.088 0.937 0.666 1
In7 In 0.151 0.063 0.229 1
In8 In 0.151 0.588 0.923 1
In9 In 0.166 0.229 0.577 1
In10 In 0.166 0.437 0.588 1
In11 In 0.229 0.151 0.063 1
In12 In 0.229 0.577 0.166 1
In13 In 0.271 0.334 0.923 1
In14 In 0.271 0.437 0.349 1
In15 In 0.334 0.912 0.063 1
In16 In 0.334 0.923 0.271 1
In17 In 0.349 0.271 0.437 1
In18 In 0.349 0.577 0.912 1
In19 In 0.412 0.077 0.849 1
In20 In 0.412 0.834 0.563 1
In21 In 0.423 0.088 0.651 1
In22 In 0.423 0.834 0.771 1
In23 In 0.437 0.349 0.271 1
In24 In 0.437 0.588 0.166 1
In25 In 0.563 0.412 0.834 1
In26 In 0.563 0.651 0.729 1
In27 In 0.577 0.166 0.229 1
In28 In 0.577 0.912 0.349 1
In29 In 0.588 0.166 0.437 1
In30 In 0.588 0.923 0.151 1
In31 In 0.651 0.423 0.088 1
In32 In 0.651 0.729 0.563 1
In33 In 0.666 0.077 0.729 1
In34 In 0.666 0.088 0.937 1
In35 In 0.729 0.563 0.651 1
In36 In 0.729 0.666 0.077 1
In37 In 0.771 0.423 0.834 1
In38 In 0.771 0.849 0.937 1
In39 In 0.834 0.563 0.412 1
In40 In 0.834 0.771 0.423 1
In41 In 0.849 0.412 0.077 1
In42 In 0.849 0.937 0.771 1
In43 In 0.912 0.063 0.334 1
In44 In 0.912 0.349 0.577 1
In45 In 0.923 0.151 0.588 1
In46 In 0.923 0.271 0.334 1
In47 In 0.937 0.666 0.088 1
In48 In 0.937 0.771 0.849 1
Te1 Te 0.000 0.000 0.000 1
Te2 Te 0.000 0.000 0.500 1
Te3 Te 0.000 0.500 0.000 1
Te4 Te 0.000 0.500 0.500 1
Te5 Te 0.125 0.750 0.875 1
Te6 Te 0.125 0.875 0.250 1
Te7 Te 0.250 0.125 0.875 1
Te8 Te 0.250 0.625 0.375 1
Te9 Te 0.375 0.250 0.625 1
Te10 Te 0.375 0.625 0.750 1
Te11 Te 0.500 0.000 0.000 1
Te12 Te 0.500 0.000 0.500 1
Te13 Te 0.500 0.500 0.000 1
Te14 Te 0.500 0.500 0.500 1
Te15 Te 0.625 0.375 0.250 1
Te16 Te 0.625 0.750 0.375 1
Te17 Te 0.750 0.375 0.625 1
Te18 Te 0.750 0.875 0.125 1
Te19 Te 0.875 0.125 0.750 1
Te20 Te 0.875 0.250 0.125 1
Br1 Br 0.125 0.250 0.375 1
Br2 Br 0.125 0.375 0.750 1
Br3 Br 0.250 0.375 0.125 1
Br4 Br 0.250 0.875 0.625 1
Br5 Br 0.375 0.125 0.250 1
Br6 Br 0.375 0.750 0.125 1
Br7 Br 0.625 0.250 0.875 1
Br8 Br 0.625 0.875 0.750 1
Br9 Br 0.750 0.125 0.375 1
Br10 Br 0.750 0.625 0.875 1
Br11 Br 0.875 0.625 0.250 1
Br12 Br 0.875 0.750 0.625 1
```

# 8
A plane-wave DFT calculation with PBE-GGA was carried out for a relaxed InTe2Br crystal.

Properties
raw total energy = -0.20957 Ry per atom
SG = No. 166

```
data_InTe2Br
_symmetry_space_group_name_H-M 'P 1'
_symmetry_Int_Tables_number 1
_symmetry_space_group_name_Hall 'P 1'
_cell_length_a 9.080
_cell_length_b 9.080
_cell_length_c 9.080
_cell_angle_alpha 28.60
_cell_angle_beta 28.60
_cell_angle_gamma 28.60
loop_
_atom_site_label
_atom_site_type_symbol
_atom_site_fract_x
_atom_site_fract_y
_atom_site_fract_z
_atom_site_occupancy
In1 In 0.000 0.000 0.000 1
Te1 Te 0.393 0.393 0.393 1
Te2 Te 0.607 0.607 0.607 1
Br1 Br 0.500 0.500 0.500 1
```

# 9
A plane-wave DFT calculation with PBE-GGA was carried out for a relaxed InTe2Br crystal.

Properties
raw total energy = -0.20586 Ry per atom
SG = No. 35

```
data_InTe2Br
_symmetry_space_group_name_H-M 'P 1'
_symmetry_Int_Tables_number 1
_symmetry_space_group_name_Hall 'P 1'
_cell_length_a 4.351
_cell_length_b 4.351
_cell_length_c 9.010
_cell_angle_alpha 90.00
_cell_angle_beta 90.00
_cell_angle_gamma 119.70
loop_
_atom_site_label
_atom_site_type_symbol
_atom_site_fract_x
_atom_site_fract_y
_atom_site_fract_z
_atom_site_occupancy
In1 In 0.000 0.000 0.000 1
Te1 Te 0.000 0.000 0.471 1
Te2 Te 0.500 0.500 0.270 1
Br1 Br 0.500 0.500 0.791 1
```

# 10
A plane-wave DFT calculation with PBE-GGA was carried out for a relaxed InTe2Br crystal.

Properties
raw total energy = -0.21107 Ry per atom
SG = No. 44

```
data_InTe2Br
_symmetry_space_group_name_H-M 'P 1'
_symmetry_Int_Tables_number 1
_symmetry_space_group_name_Hall 'P 1'
_cell_length_a 6.996
_cell_length_b 6.996
_cell_length_c 6.996
_cell_angle_alpha 145.54
_cell_angle_beta 123.85
_cell_angle_gamma 67.57
loop_
_atom_site_label
_atom_site_type_symbol
_atom_site_fract_x
_atom_site_fract_y
_atom_site_fract_z
_atom_site_occupancy
In1 In 0.000 0.000 0.000 1
Te1 Te 0.402 0.402 0.000 1
Te2 Te 0.571 0.071 0.500 1
Br1 Br 0.196 0.696 0.500 1
```

# 11
A plane-wave DFT calculation with PBE-GGA was carried out for a relaxed InTe2Br crystal.

Properties
raw total energy = -0.19278 Ry per atom
SG = No. 216

```
data_InTe2Br
_symmetry_space_group_name_H-M 'P 1'
_symmetry_Int_Tables_number 1
_symmetry_space_group_name_Hall 'P 1'
_cell_length_a 5.458
_cell_length_b 5.458
_cell_length_c 5.458
_cell_angle_alpha 60.00
_cell_angle_beta 60.00
_cell_angle_gamma 60.00
loop_
_atom_site_label
_atom_site_type_symbol
_atom_site_fract_x
_atom_site_fract_y
_atom_site_fract_z
_atom_site_occupancy
In1 In 0.000 0.000 0.000 1
Te1 Te 0.500 0.500 0.500 1
Te2 Te 0.750 0.750 0.750 1
Br1 Br 0.250 0.250 0.250 1
```

# 12
A plane-wave DFT calculation with PBE-GGA was carried out for a relaxed InTe2Br crystal.

Properties
raw total energy = -0.19259 Ry per atom
SG = No. 122

```
data_InTe2Br
_symmetry_space_group_name_H-M 'P 1'
_symmetry_Int_Tables_number 1
_symmetry_space_group_name_Hall 'P 1'
_cell_length_a 7.637
_cell_length_b 7.637
_cell_length_c 7.637
_cell_angle_alpha 119.65
_cell_angle_beta 119.65
_cell_angle_gamma 90.61
loop_
_atom_site_label
_atom_site_type_symbol
_atom_site_fract_x
_atom_site_fract_y
_atom_site_fract_z
_atom_site_occupancy
In1 In 0.000 0.000 0.000 1
In2 In 0.750 0.250 0.500 1
Te1 Te 0.090 0.625 0.965 1
Te2 Te 0.375 0.340 0.465 1
Te3 Te 0.660 0.125 0.035 1
Te4 Te 0.875 0.910 0.535 1
Br1 Br 0.250 0.750 0.500 1
Br2 Br 0.500 0.500 0.000 1
```

In order of appearance, M_tot = 0.00, 0.00, 0.00, 0.00, 0.00, 0.00, 0.00, 0.00, 0.00, 0.00, 0.00, 0.00 μB per cell.
In order of appearance, D(E_F) = 0.589, 0.382, 0.086, 0.835, 1.553, 0.314, 0.201, 0.195, 0.314, 0.004, 1.024, 1.129 states/eV per atom.
In order of appearance, ρ = 5.82, 5.43, 5.69, 4.88, 6.22, 4.87, 4.53, 4.93, 5.04, 4.71, 6.50, 4.72 g cm⁻³.